Entry 1:
# CsSrGa2B (PBE, optimized geometry)
# - Energy: -2.364 eV/atom
# - Formation enthalpy at 0 K: 689 meV per atom
# - M_tot: 0.00 μB/f.u.
# - V: 26.141 Å³/atom
data_CsSrGa2B
_chemical_formula_sum 'Cs1 Sr1 Ga2 B1'
_space_group_name_H-M_alt 'P 4/m m m'
_space_group_IT_number 123
_space_group_name_Hall '-P 4 2'
_cell_length_a 4.730
_cell_length_b 4.730
_cell_length_c 5.841
_cell_angle_alpha 90.00
_cell_angle_beta 90.00
_cell_angle_gamma 90.00
loop_
_atom_site_label
_atom_site_fract_x
_atom_site_fract_y
_atom_site_fract_z
Cs1 0.000 0.000 0.000
Sr1 0.500 0.500 0.000
Ga1 0.000 0.500 0.500
B1 0.000 0.000 0.500


Entry 2:
# CsYGa2B (PBE, optimized geometry)
# - Energy: -1.763 eV/atom
# - Formation enthalpy at 0 K: 2247 meV per atom
# - M_tot: 0.00 μB/f.u.
# - V: 37.714 Å³/atom
data_CsYGa2B
_chemical_formula_sum 'Cs1 Y1 Ga2 B1'
_space_group_name_H-M_alt 'P 4/m m m'
_space_group_IT_number 123
_space_group_name_Hall '-P 4 2'
_cell_length_a 5.672
_cell_length_b 5.672
_cell_length_c 5.862
_cell_angle_alpha 90.00
_cell_angle_beta 90.00
_cell_angle_gamma 90.00
loop_
_atom_site_label
_atom_site_fract_x
_atom_site_fract_y
_atom_site_fract_z
Cs1 0.000 0.000 0.000
Y1 0.000 0.000 0.500
Ga1 0.000 0.500 0.000
B1 0.500 0.500 0.500


Entry 3:
# CsZrGaB2 (PBE, optimized geometry)
# - Energy: -4.039 eV/atom
# - Formation enthalpy at 0 K: 1118 meV per atom
# - M_tot: 0.00 μB/f.u.
# - V: 25.164 Å³/atom
data_CsZrGaB2
_chemical_formula_sum 'Cs1 Zr1 Ga1 B2'
_space_group_name_H-M_alt 'P 4/m m m'
_space_group_IT_number 123
_space_group_name_Hall '-P 4 2'
_cell_length_a 4.755
_cell_length_b 4.755
_cell_length_c 5.566
_cell_angle_alpha 90.00
_cell_angle_beta 90.00
_cell_angle_gamma 90.00
loop_
_atom_site_label
_atom_site_fract_x
_atom_site_fract_y
_atom_site_fract_z
Cs1 0.000 0.000 0.000
Zr1 0.500 0.500 0.500
Ga1 0.500 0.500 0.000
B1 0.000 0.500 0.500


Entry 4:
# CsGe3B (PBE, optimized geometry)
# - Energy: -1.590 eV/atom
# - Formation enthalpy at 0 K: 2687 meV per atom
# - M_tot: 0.00 μB/f.u.
# - V: 38.565 Å³/atom
data_CsGe3B
_chemical_formula_sum 'Cs1 Ge3 B1'
_space_group_name_H-M_alt 'P m -3 m'
_space_group_IT_number 221
_space_group_name_Hall '-P 4 2 3'
_cell_length_a 5.777
_cell_length_b 5.777
_cell_length_c 5.777
_cell_angle_alpha 90.00
_cell_angle_beta 90.00
_cell_angle_gamma 90.00
loop_
_atom_site_label
_atom_site_fract_x
_atom_site_fract_y
_atom_site_fract_z
Cs1 0.000 0.000 0.000
Ge1 0.000 0.000 0.500
B1 0.500 0.500 0.500


Entry 5:
# CsGe2B (PBE, optimized geometry)
# - Energy: -3.631 eV/atom
# - Formation enthalpy at 0 K: 561 meV per atom
# - M_tot: 0.00 μB/f.u.
# - V: 27.388 Å³/atom
data_CsGe2B
_chemical_formula_sum 'Cs4 Ge8 B4'
_space_group_name_H-M_alt 'I -4 2 d'
_space_group_IT_number 122
_space_group_name_Hall 'I -4 2bw'
_cell_length_a 6.714
_cell_length_b 6.714
_cell_length_c 9.722
_cell_angle_alpha 90.00
_cell_angle_beta 90.00
_cell_angle_gamma 90.00
loop_
_atom_site_label
_atom_site_fract_x
_atom_site_fract_y
_atom_site_fract_z
Cs1 0.000 0.000 0.000
Ge1 0.072 0.250 0.625
B1 0.000 0.000 0.500


Entry 6:
# CsGeB2 (PBE, optimized geometry)
# - Energy: -3.628 eV/atom
# - Formation enthalpy at 0 K: 1078 meV per atom
# - M_tot: 0.00 μB/f.u.
# - V: 21.537 Å³/atom
data_CsGeB2
_chemical_formula_sum 'Cs4 Ge4 B8'
_space_group_name_H-M_alt 'I 41/a m d'
_space_group_IT_number 141
_cell_length_a 5.131
_cell_length_b 5.131
_cell_length_c 13.089
_cell_angle_alpha 90.00
_cell_angle_beta 90.00
_cell_angle_gamma 90.00
loop_
_space_group_symop_operation_xyz
'x,y,z'
'-x,-y,-z'
'-y+1/4,x+3/4,z+1/4'
'y+1/4,-x+3/4,-z+1/4'
'-x+1/2,-y,z+1/2'
'x+1/2,y,-z+1/2'
'y+1/4,-x+1/4,z+3/4'
'-y+1/4,x+1/4,-z+3/4'
'x,-y,-z'
'-x,y,z'
'-y+1/4,-x+1/4,-z+3/4'
'y+1/4,x+1/4,z+3/4'
'-x+1/2,y,-z+1/2'
'x+1/2,-y,z+1/2'
'y+1/4,x+3/4,-z+1/4'
'-y+1/4,-x+3/4,z+1/4'
'x+1/2,y+1/2,z+1/2'
'-x+1/2,-y+1/2,-z+1/2'
'-y+3/4,x+1/4,z+3/4'
'y+3/4,-x+1/4,-z+3/4'
'-x,-y+1/2,z'
'x,y+1/2,-z'
'y+3/4,-x+3/4,z+1/4'
'-y+3/4,x+3/4,-z+1/4'
'x+1/2,-y+1/2,-z+1/2'
'-x+1/2,y+1/2,z+1/2'
'-y+3/4,-x+3/4,-z+1/4'
'y+3/4,x+3/4,z+1/4'
'-x,y+1/2,-z'
'x,-y+1/2,z'
'y+3/4,x+1/4,-z+3/4'
'-y+3/4,-x+1/4,z+3/4'
loop_
_atom_site_label
_atom_site_fract_x
_atom_site_fract_y
_atom_site_fract_z
Cs1 0.000 0.250 0.375
Ge1 0.000 0.250 0.875
B1 0.000 0.000 0.000


Entry 7:
# Cs3GeB (PBE, optimized geometry)
# - Energy: -1.596 eV/atom
# - Formation enthalpy at 0 K: 1175 meV per atom
# - M_tot: 2.79 μB/f.u.
# - V: 68.031 Å³/atom
data_Cs3GeB
_chemical_formula_sum 'Cs3 Ge1 B1'
_space_group_name_H-M_alt 'P m -3 m'
_space_group_IT_number 221
_space_group_name_Hall '-P 4 2 3'
_cell_length_a 6.981
_cell_length_b 6.981
_cell_length_c 6.981
_cell_angle_alpha 90.00
_cell_angle_beta 90.00
_cell_angle_gamma 90.00
loop_
_atom_site_label
_atom_site_fract_x
_atom_site_fract_y
_atom_site_fract_z
Cs1 0.000 0.000 0.500
Ge1 0.000 0.000 0.000
B1 0.500 0.500 0.500


Entry 8:
# CsGe3B (PBE, optimized geometry)
# - Energy: -3.388 eV/atom
# - Formation enthalpy at 0 K: 888 meV per atom
# - M_tot: 0.00 μB/f.u.
# - V: 22.765 Å³/atom
data_CsGe3B
_chemical_formula_sum 'Cs1 Ge3 B1'
_space_group_name_H-M_alt 'P m -3 m'
_space_group_IT_number 221
_space_group_name_Hall '-P 4 2 3'
_cell_length_a 4.846
_cell_length_b 4.846
_cell_length_c 4.846
_cell_angle_alpha 90.00
_cell_angle_beta 90.00
_cell_angle_gamma 90.00
loop_
_atom_site_label
_atom_site_fract_x
_atom_site_fract_y
_atom_site_fract_z
Cs1 0.000 0.000 0.000
Ge1 0.000 0.500 0.500
B1 0.500 0.500 0.500


Entry 9:
# Cs2GeBI6 (PBE, optimized geometry)
# - Energy: -2.647 eV/atom
# - Raw formation energy: -0.417 eV per atom
# - M_tot: 0.00 μB/f.u.
# - V: 37.716 Å³/atom
data_Cs2GeBI6
_chemical_formula_sum 'Cs4 Ge2 B2 I12'
_space_group_name_H-M_alt 'I 4/m m m'
_space_group_IT_number 139
_space_group_name_Hall '-I 4 2'
_cell_length_a 8.089
_cell_length_b 8.089
_cell_length_c 11.530
_cell_angle_alpha 90.00
_cell_angle_beta 90.00
_cell_angle_gamma 90.00
loop_
_atom_site_label
_atom_site_fract_x
_atom_site_fract_y
_atom_site_fract_z
Cs1 0.000 0.500 0.250
Ge1 0.000 0.000 0.000
B1 0.000 0.000 0.500
I1 0.000 0.000 0.261
I2 0.238 0.238 0.500


Entry 10:
# CsK2GeB (PBE, optimized geometry)
# - Energy: -2.334 eV/atom
# - Formation enthalpy at 0 K: 535 meV per atom
# - M_tot: 0.00 μB/f.u.
# - V: 36.409 Å³/atom
data_CsK2GeB
_chemical_formula_sum 'Cs1 K2 Ge1 B1'
_space_group_name_H-M_alt 'P 4/m m m'
_space_group_IT_number 123
_space_group_name_Hall '-P 4 2'
_cell_length_a 6.632
_cell_length_b 6.632
_cell_length_c 4.139
_cell_angle_alpha 90.00
_cell_angle_beta 90.00
_cell_angle_gamma 90.00
loop_
_atom_site_label
_atom_site_fract_x
_atom_site_fract_y
_atom_site_fract_z
Cs1 0.000 0.000 0.000
K1 0.000 0.500 0.500
Ge1 0.500 0.500 0.000
B1 0.500 0.500 0.500


Entry 11:
# CsLiGe2B (PBE, optimized geometry)
# - Energy: -2.689 eV/atom
# - Formation enthalpy at 0 K: 1047 meV per atom
# - M_tot: 0.00 μB/f.u.
# - V: 23.771 Å³/atom
data_CsLiGe2B
_chemical_formula_sum 'Cs1 Li1 Ge2 B1'
_space_group_name_H-M_alt 'P 4/m m m'
_space_group_IT_number 123
_space_group_name_Hall '-P 4 2'
_cell_length_a 4.970
_cell_length_b 4.970
_cell_length_c 4.813
_cell_angle_alpha 90.00
_cell_angle_beta 90.00
_cell_angle_gamma 90.00
loop_
_atom_site_label
_atom_site_fract_x
_atom_site_fract_y
_atom_site_fract_z
Cs1 0.000 0.000 0.000
Li1 0.500 0.500 0.500
Ge1 0.000 0.500 0.500
B1 0.500 0.500 0.000


Entry 12:
# CsLiGe2B (PBE, optimized geometry)
# - Energy: -1.665 eV/atom
# - Formation enthalpy at 0 K: 2071 meV per atom
# - M_tot: 0.00 μB/f.u.
# - V: 35.122 Å³/atom
data_CsLiGe2B
_chemical_formula_sum 'Cs1 Li1 Ge2 B1'
_space_group_name_H-M_alt 'P 4/m m m'
_space_group_IT_number 123
_space_group_name_Hall '-P 4 2'
_cell_length_a 5.881
_cell_length_b 5.881
_cell_length_c 5.078
_cell_angle_alpha 90.00
_cell_angle_beta 90.00
_cell_angle_gamma 90.00
loop_
_atom_site_label
_atom_site_fract_x
_atom_site_fract_y
_atom_site_fract_z
Cs1 0.000 0.000 0.000
Li1 0.500 0.500 0.500
Ge1 0.000 0.500 0.000
B1 0.000 0.000 0.500


Entry 13:
# Cs2GeB2O6 (PBE, optimized geometry)
# - Energy: -6.471 eV/atom
# - Raw formation energy: -1.977 eV per atom
# - M_tot: 0.00 μB/f.u.
# - V: 16.867 Å³/atom
data_Cs2GeB2O6
_chemical_formula_sum 'Cs4 Ge2 B4 O12'
_space_group_name_H-M_alt 'C 1 2/m 1'
_space_group_IT_number 12
_cell_length_a 8.799
_cell_length_b 5.075
_cell_length_c 8.808
_cell_angle_alpha 90.00
_cell_angle_beta 109.36
_cell_angle_gamma 90.00
loop_
_space_group_symop_operation_xyz
'x,y,z'
'-x,-y,-z'
'-x,y,-z'
'x,-y,z'
'x+1/2,y+1/2,z'
'-x+1/2,-y+1/2,-z'
'-x+1/2,y+1/2,-z'
'x+1/2,-y+1/2,z'
loop_
_atom_site_label
_atom_site_fract_x
_atom_site_fract_y
_atom_site_fract_z
Cs1 0.226 0.000 0.181
Ge1 0.000 0.000 0.500
B1 0.124 0.500 0.377
O1 0.040 0.264 0.362
O2 0.222 0.000 0.634


Entry 14:
# CsGeBRu2 (PBE, optimized geometry)
# - Energy: -3.120 eV/atom
# - Formation enthalpy at 0 K: 3020 meV per atom
# - M_tot: 1.70 μB/f.u.
# - V: 23.556 Å³/atom
data_CsGeBRu2
_chemical_formula_sum 'Cs1 Ge1 B1 Ru2'
_space_group_name_H-M_alt 'P 4/m m m'
_space_group_IT_number 123
_space_group_name_Hall '-P 4 2'
_cell_length_a 5.015
_cell_length_b 5.015
_cell_length_c 4.682
_cell_angle_alpha 90.00
_cell_angle_beta 90.00
_cell_angle_gamma 90.00
loop_
_atom_site_label
_atom_site_fract_x
_atom_site_fract_y
_atom_site_fract_z
Cs1 0.000 0.000 0.000
Ge1 0.500 0.500 0.500
B1 0.000 0.000 0.500
Ru1 0.000 0.500 0.000


Entry 15:
# CsGeBRu2 (PBE, optimized geometry)
# - Energy: -4.590 eV/atom
# - Formation enthalpy at 0 K: 1550 meV per atom
# - M_tot: 1.19 μB/f.u.
# - V: 19.603 Å³/atom
data_CsGeBRu2
_chemical_formula_sum 'Cs1 Ge1 B1 Ru2'
_space_group_name_H-M_alt 'P 4/m m m'
_space_group_IT_number 123
_space_group_name_Hall '-P 4 2'
_cell_length_a 4.865
_cell_length_b 4.865
_cell_length_c 4.141
_cell_angle_alpha 90.00
_cell_angle_beta 90.00
_cell_angle_gamma 90.00
loop_
_atom_site_label
_atom_site_fract_x
_atom_site_fract_y
_atom_site_fract_z
Cs1 0.000 0.000 0.000
Ge1 0.500 0.500 0.500
B1 0.500 0.500 0.000
Ru1 0.000 0.500 0.500


Entry 16:
# Cs2GeB2S6 (PBE, optimized geometry)
# - Energy: -4.565 eV/atom
# - Raw formation energy: -0.525 eV per atom
# - M_tot: 0.00 μB/f.u.
# - V: 30.691 Å³/atom
data_Cs2GeB2S6
_chemical_formula_sum 'Cs4 Ge2 B4 S12'
_space_group_name_H-M_alt 'C 1 2/m 1'
_space_group_IT_number 12
_cell_length_a 14.523
_cell_length_b 6.283
_cell_length_c 8.184
_cell_angle_alpha 90.00
_cell_angle_beta 115.29
_cell_angle_gamma 90.00
loop_
_space_group_symop_operation_xyz
'x,y,z'
'-x,-y,-z'
'-x,y,-z'
'x,-y,z'
'x+1/2,y+1/2,z'
'-x+1/2,-y+1/2,-z'
'-x+1/2,y+1/2,-z'
'x+1/2,-y+1/2,z'
loop_
_atom_site_label
_atom_site_fract_x
_atom_site_fract_y
_atom_site_fract_z
Cs1 0.180 0.000 0.198
Ge1 0.000 0.000 0.500
B1 0.007 0.500 0.313
S1 0.071 0.253 0.736
S2 0.136 0.500 0.357


Entry 17:
# CsSn2GeB (PBE, optimized geometry)
# - Energy: -3.342 eV/atom
# - Formation enthalpy at 0 K: 689 meV per atom
# - M_tot: 0.00 μB/f.u.
# - V: 26.566 Å³/atom
data_CsSn2GeB
_chemical_formula_sum 'Cs1 Sn2 Ge1 B1'
_space_group_name_H-M_alt 'P 4/m m m'
_space_group_IT_number 123
_space_group_name_Hall '-P 4 2'
_cell_length_a 5.187
_cell_length_b 5.187
_cell_length_c 4.938
_cell_angle_alpha 90.00
_cell_angle_beta 90.00
_cell_angle_gamma 90.00
loop_
_atom_site_label
_atom_site_fract_x
_atom_site_fract_y
_atom_site_fract_z
Cs1 0.000 0.000 0.000
Sn1 0.000 0.500 0.500
Ge1 0.500 0.500 0.000
B1 0.500 0.500 0.500


Entry 18:
# CsB4H12 (PBE, optimized geometry)
# - Energy: -3.197 eV/atom
# - M_tot: 0.00 μB/f.u.
# - V: 7.640 Å³/atom
data_CsB4H12
_chemical_formula_sum 'Cs2 B8 H24'
_space_group_name_H-M_alt 'I m -3 m'
_space_group_IT_number 229
_space_group_name_Hall '-I 4 2 3'
_cell_length_a 6.381
_cell_length_b 6.381
_cell_length_c 6.381
_cell_angle_alpha 90.00
_cell_angle_beta 90.00
_cell_angle_gamma 90.00
loop_
_atom_site_label
_atom_site_fract_x
_atom_site_fract_y
_atom_site_fract_z
Cs1 0.000 0.000 0.000
B1 0.250 0.250 0.250
H1 0.000 0.268 0.268


Entry 19:
# CsBH6 (PBE, optimized geometry)
# - Energy: -3.197 eV/atom
# - M_tot: 0.00 μB/f.u.
# - V: 9.825 Å³/atom
data_CsBH6
_chemical_formula_sum 'Cs3 B3 H18'
_space_group_name_H-M_alt 'R -3 m'
_space_group_IT_number 166
_space_group_name_Hall '-R 3 2"'
_cell_length_a 4.0484
_cell_length_b 4.0484
_cell_length_c 16.6128
_cell_angle_alpha 90.00
_cell_angle_beta 90.00
_cell_angle_gamma 120.00
loop_
_atom_site_label
_atom_site_fract_x
_atom_site_fract_y
_atom_site_fract_z
Cs1 0.0000 0.0000 0.0000
B1 0.0000 0.0000 0.5000
H1 0.0049 0.5024 0.1248


Entry 20:
# Cs2BH4 (PBE, optimized geometry)
# - Energy: -3.456 eV/atom
# - M_tot: 0.00 μB/f.u.
# - V: 30.032 Å³/atom
data_Cs2BH4
_chemical_formula_sum 'Cs4 B2 H8'
_space_group_name_H-M_alt 'P 1 21/m 1'
_space_group_IT_number 11
_cell_length_a 8.856
_cell_length_b 5.247
_cell_length_c 9.408
_cell_angle_alpha 90.00
_cell_angle_beta 105.91
_cell_angle_gamma 90.00
loop_
_space_group_symop_operation_xyz
'x,y,z'
'-x,-y,-z'
'-x,y+1/2,-z'
'x,-y+1/2,z'
loop_
_atom_site_label
_atom_site_fract_x
_atom_site_fract_y
_atom_site_fract_z
Cs1 0.016 0.250 0.257
Cs2 0.483 0.250 0.741
B1 0.248 0.750 0.498
H1 0.104 0.750 0.452
H2 0.287 0.750 0.635
H3 0.301 0.558 0.453